(1)
Crystalline ZrCdAg at its relaxed geometry, computed with GGA-PBEsol.

Properties
The calculation puts the energy relative to the elements at -0.2 eV per formula unit.

abc: 2.925 4.464 8.765
angles: 90.00 90.00 90.00
Space group Imm2 (No. 44)
Unique sites:
Zr 0.000 0.000 0.000 [2 per cell]
Cd 0.000 0.000 0.335 [2 per cell]
Ag 0.000 0.000 0.669 [2 per cell]

---

(2)
Crystalline Zn13Co at its relaxed geometry, computed with GGA-PBEsol.

Properties
The calculation puts the energy relative to the elements at -0.9 eV per formula unit.

abc: 10.539 7.386 5.000
angles: 90.00 101.47 90.00
Space group C2/m (No. 12)
Unique sites:
Zn 0.000 0.000 0.000 [2 per cell]
Zn 0.077 0.296 0.319 [8 per cell]
Zn 0.113 0.500 0.932 [4 per cell]
Zn 0.176 0.180 0.800 [8 per cell]
Zn 0.222 0.000 0.372 [4 per cell]
Co 0.000 0.000 0.500 [2 per cell]

---

(3)
Crystalline Hf2NiGeRu at its relaxed geometry, computed with GGA-PBEsol.

Properties
The calculation puts the energy relative to the elements at 3.4 eV per formula unit.

abc: 4.865 4.865 4.077
angles: 90.00 90.00 90.00
Space group P4/mmm (No. 123)
Unique sites:
Hf 0.000 0.500 0.000 [2 per cell]
Ni 0.000 0.000 0.500 [1 per cell]
Ge 0.000 0.000 0.000 [1 per cell]
Ru 0.500 0.500 0.500 [1 per cell]

---

(4)
Crystalline TaReBr at its relaxed geometry, computed with GGA-PBEsol.

Properties
The calculation puts the offset from the most stable computed form at 0.0 meV per atom. The uncorrected formation energy is 0.506 eV per atom.

abc: 3.115 3.115 11.128
angles: 90.00 90.00 90.00
Space group I4mm (No. 107)
Unique sites:
Ta 0.000 0.000 0.000 [2 per cell]
Re 0.000 0.000 0.372 [2 per cell]
Br 0.000 0.000 0.682 [2 per cell]

---

Record-wise total magnetization values, in Bohr magnetons per cell: 0.0 0.0 1.1 0.0